{
  "formula": "TlGe3Pd3",
  "functional": "PBE",
  "state": "relaxed",
  "lattice": [[6.931, 0.000, 0.000], [0.000, 6.931, 0.000], [0.000, 0.000, 6.931]],
  "species": ["Tl", "Tl", "Ge", "Ge", "Ge", "Ge", "Ge", "Ge", "Pd", "Pd", "Pd", "Pd", "Pd", "Pd"],
  "fractional_positions": [[0.000, 0.000, 0.000], [0.500, 0.500, 0.500], [0.000, 0.250, 0.500], [0.000, 0.750, 0.500], [0.250, 0.500, 0.000], [0.500, 0.000, 0.250], [0.500, 0.000, 0.750], [0.750, 0.500, 0.000], [0.000, 0.500, 0.250], [0.000, 0.500, 0.750], [0.250, 0.000, 0.500], [0.500, 0.250, 0.000], [0.500, 0.750, 0.000], [0.750, 0.000, 0.500]],
  "formation_energy_ev_per_fu": -0.307,
  "dft_energy_ev_per_fu": -32.10
}

---

{
  "formula": "Tl2GePd6",
  "functional": "PBE",
  "state": "relaxed",
  "lattice": [[6.473, -3.573, 0.000], [6.473, 3.573, 0.000], [-1.207, 0.000, 3.774]],
  "species": ["Tl", "Tl", "Ge", "Pd", "Pd", "Pd", "Pd", "Pd", "Pd"],
  "fractional_positions": [[0.147, 0.147, 0.146], [0.853, 0.853, 0.854], [0.500, 0.500, 0.500], [0.120, 0.549, 0.335], [0.295, 0.705, 0.000], [0.451, 0.880, 0.665], [0.549, 0.120, 0.335], [0.705, 0.295, 0.000], [0.880, 0.451, 0.665]],
  "formation_energy_ev_per_fu": -1.790,
  "dft_energy_ev_per_fu": -42.30
}

---

{
  "formula": "TlGe2Pd7",
  "functional": "PBE",
  "state": "relaxed",
  "lattice": [[-2.046, 2.046, 10.088], [2.046, -2.046, 10.088], [2.046, 2.046, -10.088]],
  "species": ["Tl", "Ge", "Ge", "Pd", "Pd", "Pd", "Pd", "Pd", "Pd", "Pd"],
  "fractional_positions": [[0.000, 0.000, 0.000], [0.326, 0.326, 0.000], [0.674, 0.674, 0.000], [0.103, 0.603, 0.500], [0.250, 0.750, 0.500], [0.397, 0.897, 0.500], [0.500, 0.500, 0.000], [0.603, 0.103, 0.500], [0.750, 0.250, 0.500], [0.897, 0.397, 0.500]],
  "formation_energy_ev_per_fu": -3.934,
  "dft_energy_ev_per_fu": -51.89
}

---

{
  "formula": "Tl3GePd",
  "functional": "PBE",
  "state": "relaxed",
  "lattice": [[5.422, 0.000, 0.000], [0.000, 5.422, 0.000], [0.000, 0.000, 5.422]],
  "species": ["Tl", "Tl", "Tl", "Ge", "Pd"],
  "fractional_positions": [[0.000, 0.000, 0.500], [0.000, 0.500, 0.000], [0.500, 0.000, 0.000], [0.000, 0.000, 0.000], [0.500, 0.500, 0.500]],
  "formation_energy_ev_per_fu": 3.069,
  "dft_energy_ev_per_fu": -13.84
}

---

{
  "formula": "TlGePd4",
  "functional": "PBE",
  "state": "relaxed",
  "lattice": [[8.181, 0.000, 0.000], [0.000, 5.605, 0.000], [-0.012, 0.000, 4.595]],
  "species": ["Tl", "Tl", "Ge", "Ge", "Pd", "Pd", "Pd", "Pd", "Pd", "Pd", "Pd", "Pd"],
  "fractional_positions": [[0.000, 0.000, 0.000], [0.000, 0.500, 0.500], [0.500, 0.000, 0.500], [0.500, 0.500, 0.000], [0.203, 0.099, 0.501], [0.203, 0.401, 0.001], [0.345, 0.609, 0.502], [0.345, 0.891, 0.002], [0.655, 0.109, 0.998], [0.655, 0.391, 0.498], [0.797, 0.599, 0.999], [0.797, 0.901, 0.499]],
  "formation_energy_ev_per_fu": -1.673,
  "dft_energy_ev_per_fu": -29.43
}

---

{
  "formula": "TlGePd",
  "functional": "PBE",
  "state": "relaxed",
  "lattice": [[3.358, 0.000, 0.000], [-1.679, 2.908, 0.000], [0.000, 0.000, 6.396]],
  "species": ["Tl", "Ge", "Pd"],
  "fractional_positions": [[0.000, 0.000, 0.000], [0.667, 0.333, 0.392], [0.333, 0.667, 0.644]],
  "formation_energy_ev_per_fu": -0.243,
  "dft_energy_ev_per_fu": -12.42
}

---

{
  "formula": "Tl5Ge2Pd12",
  "functional": "PBE",
  "state": "relaxed",
  "lattice": [[5.920, -4.440, 0.000], [5.920, 4.440, 0.000], [-2.099, 0.000, 6.639]],
  "species": ["Tl", "Tl", "Tl", "Tl", "Tl", "Ge", "Ge", "Pd", "Pd", "Pd", "Pd", "Pd", "Pd", "Pd", "Pd", "Pd", "Pd", "Pd", "Pd"],
  "fractional_positions": [[0.000, 0.000, 0.000], [0.288, 0.288, 0.367], [0.319, 0.319, 0.914], [0.681, 0.681, 0.086], [0.712, 0.712, 0.633], [0.242, 0.758, 0.500], [0.758, 0.242, 0.500], [0.099, 0.638, 0.140], [0.103, 0.614, 0.706], [0.123, 0.123, 0.571], [0.362, 0.901, 0.860], [0.386, 0.897, 0.294], [0.499, 0.499, 0.709], [0.501, 0.501, 0.291], [0.614, 0.103, 0.706], [0.638, 0.099, 0.140], [0.877, 0.877, 0.429], [0.897, 0.386, 0.294], [0.901, 0.362, 0.860]],
  "formation_energy_ev_per_fu": -3.966,
  "dft_energy_ev_per_fu": -87.35
}

---

{
  "formula": "Tl2GePd",
  "functional": "PBE",
  "state": "relaxed",
  "lattice": [[0.000, 3.548, 3.548], [3.548, 0.000, 3.548], [3.548, 3.548, 0.000]],
  "species": ["Tl", "Tl", "Ge", "Pd"],
  "fractional_positions": [[0.250, 0.250, 0.250], [0.750, 0.750, 0.750], [0.000, 0.000, 0.000], [0.500, 0.500, 0.500]],
  "formation_energy_ev_per_fu": 0.736,
  "dft_energy_ev_per_fu": -13.81
}

---

{
  "formula": "Tl2GePd",
  "functional": "PBE",
  "state": "relaxed",
  "lattice": [[-2.163, 2.163, 10.092], [2.163, -2.163, 10.092], [2.163, 2.163, -10.092]],
  "species": ["Tl", "Tl", "Tl", "Tl", "Ge", "Ge", "Pd", "Pd"],
  "fractional_positions": [[0.117, 0.625, 0.992], [0.375, 0.367, 0.492], [0.633, 0.125, 0.008], [0.875, 0.883, 0.508], [0.250, 0.750, 0.500], [0.500, 0.500, 0.000], [0.000, 0.000, 0.000], [0.750, 0.250, 0.500]],
  "formation_energy_ev_per_fu": 0.922,
  "dft_energy_ev_per_fu": -13.62
}

---

{
  "formula": "TlGe2Pd7",
  "functional": "PBE",
  "state": "relaxed",
  "lattice": [[3.676, -6.048, 0.000], [3.676, 6.048, 0.000], [0.000, 0.000, 4.483]],
  "species": ["Tl", "Ge", "Ge", "Pd", "Pd", "Pd", "Pd", "Pd", "Pd", "Pd"],
  "fractional_positions": [[0.000, 0.000, 0.000], [0.301, 0.699, 0.500], [0.699, 0.301, 0.500], [0.065, 0.312, 0.500], [0.227, 0.773, 0.000], [0.312, 0.065, 0.500], [0.500, 0.500, 0.500], [0.688, 0.935, 0.500], [0.773, 0.227, 0.000], [0.935, 0.688, 0.500]],
  "formation_energy_ev_per_fu": -0.832,
  "dft_energy_ev_per_fu": -48.78
}

---

{
  "formula": "TlGePd3",
  "functional": "PBE",
  "state": "relaxed",
  "lattice": [[5.029, 0.000, 0.000], [0.000, 5.029, 0.000], [0.000, 0.000, 5.029]],
  "species": ["Tl", "Ge", "Pd", "Pd", "Pd"],
  "fractional_positions": [[0.000, 0.000, 0.000], [0.500, 0.500, 0.500], [0.000, 0.000, 0.500], [0.000, 0.500, 0.000], [0.500, 0.000, 0.000]],
  "formation_energy_ev_per_fu": 4.352,
  "dft_energy_ev_per_fu": -18.21
}

---

{
  "formula": "TlGePd4",
  "functional": "PBE",
  "state": "relaxed",
  "lattice": [[7.021, 0.000, 0.000], [0.000, 3.550, 0.000], [0.000, 0.000, 16.439]],
  "species": ["Tl", "Tl", "Tl", "Tl", "Ge", "Ge", "Ge", "Ge", "Pd", "Pd", "Pd", "Pd", "Pd", "Pd", "Pd", "Pd", "Pd", "Pd", "Pd", "Pd", "Pd", "Pd", "Pd", "Pd"],
  "fractional_positions": [[0.245, 0.250, 0.192], [0.255, 0.750, 0.692], [0.745, 0.250, 0.308], [0.755, 0.750, 0.808], [0.249, 0.250, 0.946], [0.251, 0.750, 0.446], [0.749, 0.250, 0.554], [0.751, 0.750, 0.054], [0.007, 0.750, 0.565], [0.063, 0.750, 0.300], [0.128, 0.750, 0.854], [0.131, 0.750, 0.048], [0.369, 0.250, 0.548], [0.372, 0.250, 0.354], [0.437, 0.250, 0.800], [0.493, 0.250, 0.065], [0.507, 0.750, 0.935], [0.563, 0.750, 0.200], [0.628, 0.750, 0.646], [0.631, 0.750, 0.452], [0.869, 0.250, 0.952], [0.872, 0.250, 0.146], [0.937, 0.250, 0.700], [0.993, 0.250, 0.435]],
  "formation_energy_ev_per_fu": -2.095,
  "dft_energy_ev_per_fu": -29.85
}

---

{
  "formula": "Tl2GePd8",
  "functional": "PBE",
  "state": "relaxed",
  "lattice": [[7.480, -2.305, 0.000], [7.480, 2.305, 0.000], [-2.337, 0.000, 5.455]],
  "species": ["Tl", "Tl", "Ge", "Pd", "Pd", "Pd", "Pd", "Pd", "Pd", "Pd", "Pd"],
  "fractional_positions": [[0.181, 0.181, 0.180], [0.819, 0.819, 0.820], [0.500, 0.500, 0.500], [0.000, 0.000, 0.257], [0.000, 0.000, 0.743], [0.180, 0.180, 0.681], [0.362, 0.362, 0.106], [0.362, 0.362, 0.616], [0.638, 0.638, 0.384], [0.638, 0.638, 0.894], [0.820, 0.820, 0.319]],
  "formation_energy_ev_per_fu": -2.704,
  "dft_energy_ev_per_fu": -53.60
}

---

{
  "formula": "TlGePd3",
  "functional": "PBE",
  "state": "relaxed",
  "lattice": [[2.688, -4.993, 0.000], [2.688, 4.993, 0.000], [-2.529, 0.000, 6.446]],
  "species": ["Tl", "Tl", "Ge", "Ge", "Pd", "Pd", "Pd", "Pd", "Pd", "Pd"],
  "fractional_positions": [[0.072, 0.928, 0.500], [0.928, 0.072, 0.000], [0.226, 0.559, 0.792], [0.559, 0.226, 0.292], [0.044, 0.671, 0.077], [0.112, 0.443, 0.409], [0.443, 0.112, 0.909], [0.528, 0.628, 0.174], [0.628, 0.528, 0.674], [0.671, 0.044, 0.577]],
  "formation_energy_ev_per_fu": -1.356,
  "dft_energy_ev_per_fu": -23.92
}

---

{
  "formula": "TlGe2Pd",
  "functional": "PBE",
  "state": "relaxed",
  "lattice": [[1.563, 0.902, 9.983], [-1.563, 0.902, 9.983], [0.000, -1.805, 9.983]],
  "species": ["Tl", "Ge", "Ge", "Pd"],
  "fractional_positions": [[0.000, 0.000, 0.000], [0.102, 0.102, 0.102], [0.898, 0.898, 0.898], [0.500, 0.500, 0.500]],
  "formation_energy_ev_per_fu": 0.034,
  "dft_energy_ev_per_fu": -16.76
}

---

{
  "formula": "TlGePd3",
  "functional": "PBE",
  "state": "relaxed",
  "lattice": [[4.697, 0.000, 0.000], [0.000, 4.697, 0.000], [0.000, 0.000, 4.697]],
  "species": ["Tl", "Ge", "Pd", "Pd", "Pd"],
  "fractional_positions": [[0.000, 0.000, 0.000], [0.500, 0.500, 0.500], [0.000, 0.500, 0.500], [0.500, 0.000, 0.500], [0.500, 0.500, 0.000]],
  "formation_energy_ev_per_fu": 0.365,
  "dft_energy_ev_per_fu": -22.20
}

---

{
  "formula": "TmGePd",
  "functional": "PBE",
  "state": "relaxed",
  "lattice": [[-1.876, 1.876, 4.279], [1.876, -1.876, 4.279], [1.876, 1.876, -4.279]],
  "species": ["Tm", "Ge", "Pd"],
  "fractional_positions": [[0.000, 0.000, 0.000], [0.329, 0.329, 0.000], [0.649, 0.649, 0.000]],
  "formation_energy_ev_per_fu": -1.841,
  "dft_energy_ev_per_fu": -16.12
}

---

{
  "formula": "Tm2Ge7Pd12",
  "functional": "PBE",
  "state": "relaxed",
  "lattice": [[10.331, 0.000, 0.000], [-5.165, 8.947, 0.000], [0.000, 0.000, 3.803]],
  "species": ["Tm", "Tm", "Ge", "Ge", "Ge", "Ge", "Ge", "Ge", "Ge", "Pd", "Pd", "Pd", "Pd", "Pd", "Pd", "Pd", "Pd", "Pd", "Pd", "Pd", "Pd"],
  "fractional_positions": [[0.333, 0.667, 0.245], [0.667, 0.333, 0.755], [0.000, 0.000, 0.500], [0.121, 0.411, 0.749], [0.290, 0.879, 0.749], [0.411, 0.290, 0.251], [0.589, 0.710, 0.749], [0.710, 0.121, 0.251], [0.879, 0.589, 0.251], [0.066, 0.621, 0.751], [0.111, 0.853, 0.247], [0.147, 0.258, 0.247], [0.258, 0.111, 0.753], [0.379, 0.445, 0.751], [0.445, 0.066, 0.249], [0.555, 0.934, 0.751], [0.621, 0.555, 0.249], [0.742, 0.889, 0.247], [0.853, 0.742, 0.753], [0.889, 0.147, 0.753], [0.934, 0.379, 0.249]],
  "formation_energy_ev_per_fu": -13.994,
  "dft_energy_ev_per_fu": -117.57
}

---

{
  "formula": "TmGe3Pd2",
  "functional": "PBE",
  "state": "relaxed",
  "lattice": [[7.959, -2.086, 0.000], [7.959, 2.086, 0.000], [-3.292, 0.000, 6.664]],
  "species": ["Tm", "Tm", "Ge", "Ge", "Ge", "Ge", "Ge", "Ge", "Pd", "Pd", "Pd", "Pd"],
  "fractional_positions": [[0.125, 0.125, 0.151], [0.875, 0.875, 0.849], [0.045, 0.045, 0.683], [0.318, 0.318, 0.107], [0.337, 0.337, 0.538], [0.663, 0.663, 0.462], [0.682, 0.682, 0.893], [0.955, 0.955, 0.317], [0.214, 0.214, 0.697], [0.493, 0.493, 0.178], [0.507, 0.507, 0.822], [0.786, 0.786, 0.303]],
  "formation_energy_ev_per_fu": -3.354,
  "dft_energy_ev_per_fu": -32.06
}

---

{
  "formula": "TmGePd",
  "functional": "PBE",
  "state": "relaxed",
  "lattice": [[6.984, 0.000, 0.000], [0.000, 4.046, 0.000], [-0.119, 0.000, 12.094]],
  "species": ["Tm", "Tm", "Tm", "Tm", "Tm", "Tm", "Ge", "Ge", "Ge", "Ge", "Ge", "Ge", "Pd", "Pd", "Pd", "Pd", "Pd", "Pd"],
  "fractional_positions": [[0.018, 0.250, 0.208], [0.341, 0.750, 0.580], [0.474, 0.750, 0.877], [0.526, 0.250, 0.123], [0.659, 0.250, 0.420], [0.982, 0.750, 0.792], [0.228, 0.750, 0.077], [0.236, 0.250, 0.417], [0.276, 0.250, 0.748], [0.724, 0.750, 0.252], [0.764, 0.750, 0.583], [0.772, 0.250, 0.923], [0.004, 0.250, 0.591], [0.157, 0.250, 0.955], [0.352, 0.750, 0.291], [0.648, 0.250, 0.709], [0.843, 0.750, 0.045], [0.996, 0.750, 0.409]],
  "formation_energy_ev_per_fu": -2.888,
  "dft_energy_ev_per_fu": -17.17
}

---

{
  "formula": "TmGe2Pd3",
  "functional": "PBE",
  "state": "relaxed",
  "lattice": [[8.407, -2.002, 0.000], [8.407, 2.002, 0.000], [-3.131, 0.000, 9.449]],
  "species": ["Tm", "Tm", "Tm", "Ge", "Ge", "Ge", "Ge", "Ge", "Ge", "Pd", "Pd", "Pd", "Pd", "Pd", "Pd", "Pd", "Pd", "Pd"],
  "fractional_positions": [[0.000, 0.000, 0.000], [0.153, 0.153, 0.695], [0.847, 0.847, 0.305], [0.197, 0.197, 0.132], [0.363, 0.363, 0.545], [0.458, 0.458, 0.215], [0.542, 0.542, 0.785], [0.637, 0.637, 0.455], [0.803, 0.803, 0.868], [0.039, 0.039, 0.329], [0.219, 0.219, 0.390], [0.318, 0.318, 0.037], [0.385, 0.385, 0.809], [0.500, 0.500, 0.500], [0.615, 0.615, 0.191], [0.682, 0.682, 0.963], [0.781, 0.781, 0.610], [0.961, 0.961, 0.671]],
  "formation_energy_ev_per_fu": -4.548,
  "dft_energy_ev_per_fu": -33.83
}

---

{
  "formula": "TmGe2Pd5",
  "functional": "PBE",
  "state": "relaxed",
  "lattice": [[-1.870, 3.656, 5.035], [1.870, -3.656, 5.035], [1.870, 3.656, -5.035]],
  "species": ["Tm", "Ge", "Ge", "Pd", "Pd", "Pd", "Pd", "Pd"],
  "fractional_positions": [[0.000, 0.000, 0.000], [0.252, 0.752, 0.500], [0.748, 0.248, 0.500], [0.155, 0.358, 0.797], [0.439, 0.642, 0.797], [0.500, 0.000, 0.500], [0.561, 0.358, 0.203], [0.845, 0.642, 0.203]],
  "formation_energy_ev_per_fu": -5.115,
  "dft_energy_ev_per_fu": -44.79
}